Below is a geometry-optimized ZnBi2Cl structure, with properties calculated at the GGA-PBE level.

Formation energy (no corrections)   -0.0367 eV per atom
D(E_F)   5.5 states/eV per cell

The structure in CIF format:
```
data_ZnBi2Cl
_cell_length_a 4.6566
_cell_length_b 4.6566
_cell_length_c 21.8001
_cell_angle_alpha 90.00
_cell_angle_beta 90.00
_cell_angle_gamma 90.00
_symmetry_space_group_name_H-M 'I -4 2 d'
_symmetry_Int_Tables_number 122
_symmetry_space_group_name_Hall 'I -4 2bw'
loop_
_atom_site_label
_atom_site_type_symbol
_atom_site_fract_x
_atom_site_fract_y
_atom_site_fract_z
Zn1 Zn 0.0000 0.0000 0.0000
Bi1 Bi 0.2118 0.2500 0.1250
Cl1 Cl 0.0000 0.0000 0.5000
```

Below is a geometry-optimized Zn2BiCl structure, with properties calculated at the GGA-PBE level.

Formation energy (no corrections)   -0.2256 eV per atom
D(E_F)   1.6 states/eV per cell

The structure in CIF format:
```
data_Zn2BiCl
_cell_length_a 6.0469
_cell_length_b 6.0469
_cell_length_c 12.9399
_cell_angle_alpha 90.00
_cell_angle_beta 90.00
_cell_angle_gamma 90.00
_symmetry_space_group_name_H-M 'I -4 2 d'
_symmetry_Int_Tables_number 122
_symmetry_space_group_name_Hall 'I -4 2bw'
loop_
_atom_site_label
_atom_site_type_symbol
_atom_site_fract_x
_atom_site_fract_y
_atom_site_fract_z
Zn1 Zn 0.2482 0.2500 0.1250
Bi1 Bi 0.0000 0.0000 0.0000
Cl1 Cl 0.0000 0.0000 0.5000
```

Below is a geometry-optimized Zn2Bi2Cl structure, with properties calculated at the GGA-PBE level.

Formation energy (no corrections)   -0.1394 eV per atom
D(E_F)   2.9 states/eV per cell

The structure in CIF format:
```
data_Zn2Bi2Cl
_cell_length_a 3.7226
_cell_length_b 3.7226
_cell_length_c 17.8344
_cell_angle_alpha 90.00
_cell_angle_beta 90.00
_cell_angle_gamma 90.00
_symmetry_space_group_name_H-M 'I 4/m m m'
_symmetry_Int_Tables_number 139
_symmetry_space_group_name_Hall '-I 4 2'
loop_
_atom_site_label
_atom_site_type_symbol
_atom_site_fract_x
_atom_site_fract_y
_atom_site_fract_z
Zn1 Zn 0.0000 0.5000 0.2500
Bi1 Bi 0.0000 0.0000 0.1213
Cl1 Cl 0.0000 0.0000 0.5000
```

Below is a geometry-optimized ZnBiCl4 structure, with properties calculated at the GGA-PBE level.

Formation energy (no corrections)   -0.8030 eV per atom
D(E_F)   1.9 states/eV per cell

The structure in CIF format:
```
data_ZnBiCl4
_cell_length_a 6.4119
_cell_length_b 6.4119
_cell_length_c 18.4292
_cell_angle_alpha 90.00
_cell_angle_beta 90.00
_cell_angle_gamma 90.00
_symmetry_space_group_name_H-M 'I 41/a'
_symmetry_Int_Tables_number 88
loop_
_symmetry_equiv_pos_as_xyz
'x,y,z'
'-x,-y,-z'
'-y+3/4,x+1/4,z+1/4'
'y+3/4,-x+1/4,-z+1/4'
'-x+1/2,-y,z+1/2'
'x+1/2,y,-z+1/2'
'y+3/4,-x+3/4,z+3/4'
'-y+3/4,x+3/4,-z+3/4'
'x+1/2,y+1/2,z+1/2'
'-x+1/2,-y+1/2,-z+1/2'
'-y+1/4,x+3/4,z+3/4'
'y+1/4,-x+3/4,-z+3/4'
'-x,-y+1/2,z'
'x,y+1/2,-z'
'y+1/4,-x+1/4,z+1/4'
'-y+1/4,x+1/4,-z+1/4'
loop_
_atom_site_label
_atom_site_type_symbol
_atom_site_fract_x
_atom_site_fract_y
_atom_site_fract_z
Zn1 Zn 0.0000 0.2500 0.1250
Bi1 Bi 0.0000 0.2500 0.6250
Cl1 Cl 0.1992 0.4924 0.1861
```

Below is a geometry-optimized ZnBiCl4 structure, with properties calculated at the GGA-PBE level.

Formation energy (no corrections)   -0.7946 eV per atom
D(E_F)   4.8 states/eV per cell

The structure in CIF format:
```
data_ZnBiCl4
_cell_length_a 6.8769
_cell_length_b 6.8769
_cell_length_c 7.4558
_cell_angle_alpha 90.00
_cell_angle_beta 90.00
_cell_angle_gamma 90.00
_symmetry_space_group_name_H-M 'I -4'
_symmetry_Int_Tables_number 82
_symmetry_space_group_name_Hall 'I -4'
loop_
_atom_site_label
_atom_site_type_symbol
_atom_site_fract_x
_atom_site_fract_y
_atom_site_fract_z
Zn1 Zn 0.0000 0.0000 0.0000
Bi1 Bi 0.0000 0.5000 0.2500
Cl1 Cl 0.2396 0.2437 0.0002
```

Below is a geometry-optimized Zn2BiCl structure, with properties calculated at the GGA-PBE level.

Formation energy (no corrections)   0.0800 eV per atom
D(E_F)   5.3 states/eV per cell

The structure in CIF format:
```
data_Zn2BiCl
_cell_length_a 7.1026
_cell_length_b 7.1026
_cell_length_c 7.1026
_cell_angle_alpha 90.00
_cell_angle_beta 90.00
_cell_angle_gamma 90.00
_symmetry_space_group_name_H-M 'F m -3 m'
_symmetry_Int_Tables_number 225
_symmetry_space_group_name_Hall '-F 4 2 3'
loop_
_atom_site_label
_atom_site_type_symbol
_atom_site_fract_x
_atom_site_fract_y
_atom_site_fract_z
Zn1 Zn 0.2500 0.2500 0.2500
Bi1 Bi 0.0000 0.0000 0.0000
Cl1 Cl 0.0000 0.0000 0.5000
```

Below is a geometry-optimized Zn2Bi2Cl structure, with properties calculated at the GGA-PBE level.

Formation energy (no corrections)   0.0649 eV per atom
D(E_F)   4.8 states/eV per cell

The structure in CIF format:
```
data_Zn2Bi2Cl
_cell_length_a 8.5478
_cell_length_b 8.5478
_cell_length_c 3.3850
_cell_angle_alpha 90.00
_cell_angle_beta 90.00
_cell_angle_gamma 90.00
_symmetry_space_group_name_H-M 'P 4/m b m'
_symmetry_Int_Tables_number 127
_symmetry_space_group_name_Hall '-P 4 2ab'
loop_
_atom_site_label
_atom_site_type_symbol
_atom_site_fract_x
_atom_site_fract_y
_atom_site_fract_z
Zn1 Zn 0.1517 0.3483 0.0000
Bi1 Bi 0.1466 0.6466 0.5000
Cl1 Cl 0.0000 0.0000 0.0000
```

Below is a geometry-optimized ZnBi3Cl structure, with properties calculated at the GGA-PBE level.

Formation energy (no corrections)   0.3334 eV per atom
D(E_F)   3.1 states/eV per cell

The structure in CIF format:
```
data_ZnBi3Cl
_cell_length_a 5.4442
_cell_length_b 5.4442
_cell_length_c 5.4442
_cell_angle_alpha 90.00
_cell_angle_beta 90.00
_cell_angle_gamma 90.00
_symmetry_space_group_name_H-M 'P m -3 m'
_symmetry_Int_Tables_number 221
_symmetry_space_group_name_Hall '-P 4 2 3'
loop_
_atom_site_label
_atom_site_type_symbol
_atom_site_fract_x
_atom_site_fract_y
_atom_site_fract_z
Zn1 Zn 0.0000 0.0000 0.0000
Bi1 Bi 0.0000 0.0000 0.5000
Cl1 Cl 0.5000 0.5000 0.5000
```

Below is a geometry-optimized Zr2BiCl structure, with properties calculated at the GGA-PBE level.

Formation energy (no corrections)   -0.4063 eV per atom
D(E_F)   1.0 states/eV per cell

The structure in CIF format:
```
data_Zr2BiCl
_cell_length_a 7.0582
_cell_length_b 7.0582
_cell_length_c 7.0582
_cell_angle_alpha 90.00
_cell_angle_beta 90.00
_cell_angle_gamma 90.00
_symmetry_space_group_name_H-M 'F m -3 m'
_symmetry_Int_Tables_number 225
_symmetry_space_group_name_Hall '-F 4 2 3'
loop_
_atom_site_label
_atom_site_type_symbol
_atom_site_fract_x
_atom_site_fract_y
_atom_site_fract_z
Zr1 Zr 0.2500 0.2500 0.2500
Bi1 Bi 0.0000 0.0000 0.0000
Cl1 Cl 0.0000 0.0000 0.5000
```

Below is a geometry-optimized Zr2BiCl structure, with properties calculated at the GGA-PBE level.

Formation energy (no corrections)   -0.0264 eV per atom
D(E_F)   9.9 states/eV per cell

The structure in CIF format:
```
data_Zr2BiCl
_cell_length_a 5.2231
_cell_length_b 5.2231
_cell_length_c 16.4703
_cell_angle_alpha 90.00
_cell_angle_beta 90.00
_cell_angle_gamma 90.00
_symmetry_space_group_name_H-M 'I -4 2 d'
_symmetry_Int_Tables_number 122
_symmetry_space_group_name_Hall 'I -4 2bw'
loop_
_atom_site_label
_atom_site_type_symbol
_atom_site_fract_x
_atom_site_fract_y
_atom_site_fract_z
Zr1 Zr 0.1560 0.2500 0.1250
Bi1 Bi 0.0000 0.0000 0.5000
Cl1 Cl 0.0000 0.0000 0.0000
```

Which of these has the lowest formation energy (no corrections)?
number 4

Please write out number 5 again, unchanged.
Below is a geometry-optimized ZnBiCl4 structure, with properties calculated at the GGA-PBE level.

Formation energy (no corrections)   -0.7946 eV per atom
D(E_F)   4.8 states/eV per cell

The structure in CIF format:
```
data_ZnBiCl4
_cell_length_a 6.8769
_cell_length_b 6.8769
_cell_length_c 7.4558
_cell_angle_alpha 90.00
_cell_angle_beta 90.00
_cell_angle_gamma 90.00
_symmetry_space_group_name_H-M 'I -4'
_symmetry_Int_Tables_number 82
_symmetry_space_group_name_Hall 'I -4'
loop_
_atom_site_label
_atom_site_type_symbol
_atom_site_fract_x
_atom_site_fract_y
_atom_site_fract_z
Zn1 Zn 0.0000 0.0000 0.0000
Bi1 Bi 0.0000 0.5000 0.2500
Cl1 Cl 0.2396 0.2437 0.0002
```